# VAs2F2

A relaxed VAs2F2 crystal (PBE with a Hubbard U, Alexandria).

Cell: 6.7193 6.7193 4.2661 Å, 90.00 90.00 90.00°
Closest atoms and distances in Å follow each position.
Space group P4/mbm (No. 127)
One atom of each set of equivalent atoms:
V: 0.0000 0.0000 0.0000 x2  4 As 2.62
As: 0.1331 0.3669 0.0000 x4  2 F 2.14
F: 0.1513 0.3487 0.5000 x4  2 As 2.14

Properties
* E: -4.7947 eV/atom
* crystal system: tetragonal